No. 1
A plane-wave DFT calculation with PBE was carried out for a relaxed structure of AcZn2Pd4.

## Properties
For the energy relative to the elements, the calculation gives -0.1612 eV per atom.

Unit cell a=6.144 b=6.144 c=6.144 alpha=101.05 beta=101.05 gamma=128.07
Fractional coordinates of all 7 atoms:
Pd (0.500, 0.735, 0.235)
Pd (0.500, 0.265, 0.765)
Pd (0.265, 0.500, 0.765)
Pd (0.735, 0.500, 0.235)
Zn (0.250, 0.750, 0.500)
Zn (0.750, 0.250, 0.500)
Ac (0.000, 0.000, 0.000)

No. 2
A plane-wave DFT calculation with PBE was carried out for a relaxed structure of MgSiRh2.

## Properties
The calculation puts the formation energy from raw total energies at -0.765 eV per atom.

Unit cell a=4.248 b=4.248 c=4.248 alpha=60.00 beta=60.00 gamma=60.00
Fractional coordinates of all 4 atoms:
Si (0.500, 0.500, 0.500)
Mg (0.000, 0.000, 0.000)
Rh (0.750, 0.750, 0.750)
Rh (0.250, 0.250, 0.250)

no.,theoretical density (g/cm3),size of the total moment (μB/f.u.)
1,7.9,0.00
2,7.9,0.00